A plane-wave DFT calculation with PBE was carried out for YScBe2 after structural relaxation.

The density of states at the Fermi level comes out at 0.785 states/eV/atom. Its total moment is 0.0 μB/f.u. The energy above the most stable polymorph in this dataset comes out at 369 meV per atom.

Structure (CIF):
```
data_YScBe2
_chemical_formula_sum 'Y1 Sc1 Be2'
_space_group_name_H-M_alt 'P 1'
_space_group_IT_number 1
_cell_length_a 3.127
_cell_length_b 4.187
_cell_length_c 5.737
_cell_angle_alpha 90.00
_cell_angle_beta 90.00
_cell_angle_gamma 90.00
loop_
_space_group_symop_operation_xyz
'x,y,z'
loop_
_atom_site_label
_atom_site_fract_x
_atom_site_fract_y
_atom_site_fract_z
_atom_site_occupancy
Y1 0.000 0.000 0.000 1
Sc1 0.500 0.500 0.637 1
Be1 0.000 0.000 0.481 1
Be2 0.500 0.500 0.192 1
```



A plane-wave DFT calculation with PBE was carried out for TaBeB after structural relaxation.

The density of states at the Fermi level comes out at 0.128 states/eV/atom. Its total moment is 0.0 μB/f.u. The energy above the most stable polymorph in this dataset comes out at 67 meV per atom.

Structure (CIF):
```
data_TaBeB
_chemical_formula_sum 'Ta2 Be2 B2'
_space_group_name_H-M_alt 'P 1'
_space_group_IT_number 1
_cell_length_a 4.624
_cell_length_b 4.624
_cell_length_c 4.624
_cell_angle_alpha 138.90
_cell_angle_beta 104.63
_cell_angle_gamma 89.65
loop_
_space_group_symop_operation_xyz
'x,y,z'
loop_
_atom_site_label
_atom_site_fract_x
_atom_site_fract_y
_atom_site_fract_z
_atom_site_occupancy
Ta1 0.247 0.247 0.000 1
Ta2 0.753 0.753 0.000 1
Be1 0.328 0.000 0.328 1
Be2 0.672 0.000 0.672 1
B1 0.159 0.500 0.659 1
B2 0.841 0.500 0.341 1
```



A plane-wave DFT calculation with PBE was carried out for Rb3AgRh after structural relaxation.

The density of states at the Fermi level comes out at 0.616 states/eV/atom. Its total moment is 0.7 μB/f.u. The energy above the most stable polymorph in this dataset comes out at 0 meV per atom.

Structure (CIF):
```
data_Rb3AgRh
_chemical_formula_sum 'Rb3 Ag1 Rh1'
_space_group_name_H-M_alt 'P 1'
_space_group_IT_number 1
_cell_length_a 6.200
_cell_length_b 6.200
_cell_length_c 6.200
_cell_angle_alpha 90.00
_cell_angle_beta 90.00
_cell_angle_gamma 90.00
loop_
_space_group_symop_operation_xyz
'x,y,z'
loop_
_atom_site_label
_atom_site_fract_x
_atom_site_fract_y
_atom_site_fract_z
_atom_site_occupancy
Rb1 0.000 0.000 0.500 1
Rb2 0.000 0.500 0.000 1
Rb3 0.500 0.000 0.000 1
Ag1 0.500 0.500 0.500 1
Rh1 0.000 0.000 0.000 1
```



A plane-wave DFT calculation with PBE was carried out for Sc4Sb2C after structural relaxation.

The uncorrected formation energy is -853 meV per atom. The density of states at the Fermi level comes out at 1.032 states/eV/atom. Its total moment is 0.0 μB/f.u. The energy above the most stable polymorph in this dataset comes out at 0 meV per atom.

Structure (CIF):
```
data_Sc4Sb2C
_chemical_formula_sum 'Sc4 Sb2 C1'
_space_group_name_H-M_alt 'P 1'
_space_group_IT_number 1
_cell_length_a 8.070
_cell_length_b 8.070
_cell_length_c 8.070
_cell_angle_alpha 147.91
_cell_angle_beta 147.91
_cell_angle_gamma 46.02
loop_
_space_group_symop_operation_xyz
'x,y,z'
loop_
_atom_site_label
_atom_site_fract_x
_atom_site_fract_y
_atom_site_fract_z
_atom_site_occupancy
Sc1 0.000 0.500 0.500 1
Sc2 0.153 0.153 0.000 1
Sc3 0.500 0.000 0.500 1
Sc4 0.847 0.847 0.000 1
Sb1 0.355 0.355 0.000 1
Sb2 0.645 0.645 0.000 1
C1 0.000 0.000 0.000 1
```



A plane-wave DFT calculation with PBE was carried out for BaAlGeS2 after structural relaxation.

The uncorrected formation energy is 166 meV per atom. The density of states at the Fermi level comes out at 0.545 states/eV/atom. Its total moment is 0.0 μB/f.u.

Structure (CIF):
```
data_BaAlGeS2
_chemical_formula_sum 'Ba1 Al1 Ge1 S2'
_space_group_name_H-M_alt 'P 1'
_space_group_IT_number 1
_cell_length_a 5.012
_cell_length_b 5.012
_cell_length_c 5.810
_cell_angle_alpha 90.00
_cell_angle_beta 90.00
_cell_angle_gamma 90.00
loop_
_space_group_symop_operation_xyz
'x,y,z'
loop_
_atom_site_label
_atom_site_fract_x
_atom_site_fract_y
_atom_site_fract_z
_atom_site_occupancy
Ba1 0.000 0.000 0.000 1
Al1 0.500 0.500 0.000 1
Ge1 0.000 0.000 0.500 1
S1 0.000 0.500 0.500 1
S2 0.500 0.000 0.500 1
```



A plane-wave DFT calculation with PBE was carried out for CaTaSe4 after structural relaxation.

The uncorrected formation energy is 551 meV per atom. The density of states at the Fermi level comes out at 1.011 states/eV/atom. Its total moment is 3.3 μB/f.u.

Structure (CIF):
```
data_CaTaSe4
_chemical_formula_sum 'Ca1 Ta1 Se4'
_space_group_name_H-M_alt 'P 1'
_space_group_IT_number 1
_cell_length_a 5.776
_cell_length_b 5.776
_cell_length_c 5.776
_cell_angle_alpha 60.00
_cell_angle_beta 60.00
_cell_angle_gamma 60.00
loop_
_space_group_symop_operation_xyz
'x,y,z'
loop_
_atom_site_label
_atom_site_fract_x
_atom_site_fract_y
_atom_site_fract_z
_atom_site_occupancy
Ca1 0.000 0.000 0.000 1
Ta1 0.250 0.250 0.250 1
Se1 0.128 0.624 0.624 1
Se2 0.624 0.128 0.624 1
Se3 0.624 0.624 0.128 1
Se4 0.624 0.624 0.624 1
```